DFT (PBE) results for an optimized crystal structure of Ti12Co6H.

abc: 6.467 6.467 6.467
angles: 91.36 91.36 91.36
Fractional positions:
Ti 0.806 0.555 0.434
Ti 0.434 0.806 0.555
Ti 0.555 0.434 0.806
Ti 0.194 0.445 0.566
Ti 0.566 0.194 0.445
Ti 0.445 0.566 0.194
Ti 0.006 0.106 0.335
Ti 0.894 0.665 0.994
Ti 0.665 0.994 0.894
Ti 0.994 0.894 0.665
Ti 0.106 0.335 0.006
Ti 0.335 0.006 0.106
Co 0.699 0.890 0.284
Co 0.716 0.301 0.110
Co 0.110 0.716 0.301
Co 0.301 0.110 0.716
Co 0.284 0.699 0.890
Co 0.890 0.284 0.699
H 0.000 0.000 0.000

Summary:
Calculated volume (Å³/cell): 270.21
Space-group type: No. 148
Crystal system: trigonal
Energy (eV for the cell shown): -142.61
Calculated density (kg/m3): 5709